# ZnHg2Rh | Alexandria | PBE | optimized geometry
data_ZnHg2Rh
_chemical_formula_sum 'Zn1 Hg2 Rh1'
_space_group_name_H-M_alt 'P 4/m m m'
_space_group_IT_number 123
_space_group_name_Hall '-P 4 2'
_cell_length_a 3.547
_cell_length_b 3.547
_cell_length_c 5.784
_cell_angle_alpha 90.00
_cell_angle_beta 90.00
_cell_angle_gamma 90.00
loop_
_atom_site_label
_atom_site_type_symbol
_atom_site_fract_x
_atom_site_fract_y
_atom_site_fract_z
Zn1 Zn 0.000 0.000 0.000
Hg1 Hg 0.500 0.500 0.252
Rh1 Rh 0.000 0.000 0.500
# energy of formation	14.06	kJ per mole of atoms



# SbMoRh2 | Alexandria | PBE | optimized geometry
data_SbMoRh2
_chemical_formula_sum 'Sb2 Mo2 Rh4'
_space_group_name_H-M_alt 'I m m 2'
_space_group_IT_number 44
_space_group_name_Hall 'I 2 -2'
_cell_length_a 3.028
_cell_length_b 4.623
_cell_length_c 9.354
_cell_angle_alpha 90.00
_cell_angle_beta 90.00
_cell_angle_gamma 90.00
loop_
_atom_site_label
_atom_site_type_symbol
_atom_site_fract_x
_atom_site_fract_y
_atom_site_fract_z
Sb1 Sb 0.000 0.000 0.000
Mo1 Mo 0.000 0.500 0.257
Rh1 Rh 0.000 0.000 0.506
Rh2 Rh 0.000 0.500 0.723
# uncorrected formation energy	11	meV per atom



# LiLa3Tc | Alexandria | PBE | optimized geometry
data_LiLa3Tc
_chemical_formula_sum 'Li8 La24 Tc8'
_space_group_name_H-M_alt 'F m m m'
_space_group_IT_number 69
_space_group_name_Hall '-F 2 2'
_cell_length_a 6.680
_cell_length_b 10.743
_cell_length_c 16.471
_cell_angle_alpha 90.00
_cell_angle_beta 90.00
_cell_angle_gamma 90.00
loop_
_atom_site_label
_atom_site_type_symbol
_atom_site_fract_x
_atom_site_fract_y
_atom_site_fract_z
Li1 Li 0.197 0.000 0.000
La1 La 0.000 0.000 0.201
La2 La 0.000 0.191 0.385
Tc1 Tc 0.250 0.250 0.250
# excess energy over the best structure of this formula in the dataset	0.00	kJ/mol of atoms
# energy of formation	1.26	kJ per mole of atoms



# LaPm12Y2 | Alexandria | PBE | optimized geometry
data_LaPm12Y2
_chemical_formula_sum 'La2 Pm24 Y4'
_space_group_name_H-M_alt 'P 4/n b m'
_space_group_IT_number 125
_cell_length_a 6.537
_cell_length_b 6.537
_cell_length_c 25.609
_cell_angle_alpha 90.00
_cell_angle_beta 90.00
_cell_angle_gamma 90.00
loop_
_space_group_symop_operation_xyz
'x,y,z'
'-x,-y,-z'
'-y+1/2,x,z'
'y+1/2,-x,-z'
'-x+1/2,-y+1/2,z'
'x+1/2,y+1/2,-z'
'y,-x+1/2,z'
'-y,x+1/2,-z'
'x,-y+1/2,-z'
'-x,y+1/2,z'
'-y+1/2,-x+1/2,-z'
'y+1/2,x+1/2,z'
'-x+1/2,y,-z'
'x+1/2,-y,z'
'y,x,-z'
'-y,-x,z'
loop_
_atom_site_label
_atom_site_type_symbol
_atom_site_fract_x
_atom_site_fract_y
_atom_site_fract_z
La1 La 0.250 0.750 0.000
Pm1 Pm 0.068 0.568 0.117
Pm2 Pm 0.082 0.582 0.438
Pm3 Pm 0.250 0.250 0.217
Pm4 Pm 0.250 0.250 0.339
Y1 Y 0.250 0.750 0.275
# energy of formation	27.98	kJ per mole of atoms



# YCoNi2B | Alexandria | PBE | optimized geometry
data_YCoNi2B
_chemical_formula_sum 'Y1 Co1 Ni2 B1'
_space_group_name_H-M_alt 'P 4/m m m'
_space_group_IT_number 123
_space_group_name_Hall '-P 4 2'
_cell_length_a 4.018
_cell_length_b 4.018
_cell_length_c 3.966
_cell_angle_alpha 90.00
_cell_angle_beta 90.00
_cell_angle_gamma 90.00
loop_
_atom_site_label
_atom_site_type_symbol
_atom_site_fract_x
_atom_site_fract_y
_atom_site_fract_z
Y1 Y 0.000 0.000 0.000
Co1 Co 0.500 0.500 0.000
Ni1 Ni 0.000 0.500 0.500
B1 B 0.500 0.500 0.500
# energy of formation	-34.79	kJ per mole of atoms



# LiPmNdZn | Alexandria | PBE | optimized geometry
data_LiPmNdZn
_chemical_formula_sum 'Li4 Pm4 Nd4 Zn4'
_space_group_name_H-M_alt 'F -4 3 m'
_space_group_IT_number 216
_space_group_name_Hall 'F -4 2 3'
_cell_length_a 7.432
_cell_length_b 7.432
_cell_length_c 7.432
_cell_angle_alpha 90.00
_cell_angle_beta 90.00
_cell_angle_gamma 90.00
loop_
_atom_site_label
_atom_site_type_symbol
_atom_site_fract_x
_atom_site_fract_y
_atom_site_fract_z
Li1 Li 0.000 0.000 0.000
Pm1 Pm 0.250 0.250 0.750
Nd1 Nd 0.250 0.250 0.250
Zn1 Zn 0.000 0.000 0.500
# excess energy over the best structure of this formula in the dataset	1.18	kJ/mol of atoms
# energy of formation	-10.39	kJ per mole of atoms



# YbInAu2 | Alexandria | PBE | optimized geometry
data_YbInAu2
_chemical_formula_sum 'Yb4 In4 Au8'
_space_group_name_H-M_alt 'F m -3 m'
_space_group_IT_number 225
_space_group_name_Hall '-F 4 2 3'
_cell_length_a 7.041
_cell_length_b 7.041
_cell_length_c 7.041
_cell_angle_alpha 90.00
_cell_angle_beta 90.00
_cell_angle_gamma 90.00
loop_
_atom_site_label
_atom_site_type_symbol
_atom_site_fract_x
_atom_site_fract_y
_atom_site_fract_z
Yb1 Yb 0.000 0.000 0.000
In1 In 0.000 0.000 0.500
Au1 Au 0.250 0.250 0.250
# energy of formation	-61.45	kJ per mole of atoms



# Ca3La2Y2 | Alexandria | PBE | optimized geometry
data_Ca3La2Y2
_chemical_formula_sum 'Ca6 La4 Y4'
_space_group_name_H-M_alt 'C m m m'
_space_group_IT_number 65
_space_group_name_Hall '-C 2 2'
_cell_length_a 5.748
_cell_length_b 25.157
_cell_length_c 3.666
_cell_angle_alpha 90.00
_cell_angle_beta 90.00
_cell_angle_gamma 90.00
loop_
_atom_site_label
_atom_site_type_symbol
_atom_site_fract_x
_atom_site_fract_y
_atom_site_fract_z
Ca1 Ca 0.000 0.000 0.000
Ca2 Ca 0.000 0.423 0.500
La1 La 0.000 0.279 0.500
Y1 Y 0.000 0.152 0.000
# energy of formation	6.70	kJ per mole of atoms



The following DFT total energy values (in eV/cell) correspond, in order, to the records above: -8.6 -59.2 -216.0 -141.0 -33.6 -52.5 -53.5 -56.6.